# 1
Compound: GaPdF2
Source: Alexandria
Functional: GGA-PBEsol
Structure: optimized geometry

Results
Raw formation energy: -0.867 eV/atom
Fermi-level density of states: 5.38 states/eV/f.u.
Space group: Fm-3m

Cell: 4.1095 4.1095 4.1095 Å, 60.00 60.00 60.00°
Closest atoms and distances in Å follow each position.
Element x y z (fractional)
Ga  0.0000  0.0000  0.0000  8 F 2.52
Pd  0.5000  0.5000  0.5000  8 F 2.52
F  0.2500  0.2500  0.2500  4 Pd 2.52, 4 Ga 2.52
F  0.7500  0.7500  0.7500  4 Pd 2.52, 4 Ga 2.52


# 2
Compound: Zr2ZnIn
Source: Alexandria
Functional: GGA-PBEsol
Structure: optimized geometry

Results
ΔH_f (0 K): -12.4 kJ/mol of atoms
Fermi-level density of states: 2.43 states/eV/f.u.
Space group: R-3m

Cell: 9.5318 9.5318 9.5318 Å, 19.25 19.25 19.25°
Closest atoms and distances in Å follow each position.
Element x y z (fractional)
Zr  0.2430  0.2430  0.2430  3 Zn 2.82, 3 In 3.13
Zr  0.7570  0.7570  0.7570  3 Zn 2.82, 3 In 3.13
Zn  0.5000  0.5000  0.5000  6 Zr 2.82
In  0.0000  0.0000  0.0000  6 Zr 3.13, 6 In 3.19


# 3
Compound: TeHF2
Source: Alexandria
Functional: GGA-PBEsol
Structure: optimized geometry

Results
Uncorrected energy: -2.979 eV/atom
Fermi-level density of states: 2.14 states/eV/f.u.
Space group: Fm-3m

Cell: 4.0317 4.0317 4.0317 Å, 60.00 60.00 60.00°
Closest atoms and distances in Å follow each position.
Element x y z (fractional)
Te  0.0000  0.0000  0.0000  8 F 2.47
H  0.5000  0.5000  0.5000  8 F 2.47
F  0.2500  0.2500  0.2500  4 H 2.47, 4 Te 2.47
F  0.7500  0.7500  0.7500  4 H 2.47, 4 Te 2.47


Repeat the third record exactly.
Compound: TeHF2
Source: Alexandria
Functional: GGA-PBEsol
Structure: optimized geometry

Results
Uncorrected energy: -2.979 eV/atom
Fermi-level density of states: 2.14 states/eV/f.u.
Space group: Fm-3m

Cell: 4.0317 4.0317 4.0317 Å, 60.00 60.00 60.00°
Closest atoms and distances in Å follow each position.
Element x y z (fractional)
Te  0.0000  0.0000  0.0000  8 F 2.47
H  0.5000  0.5000  0.5000  8 F 2.47
F  0.2500  0.2500  0.2500  4 H 2.47, 4 Te 2.47
F  0.7500  0.7500  0.7500  4 H 2.47, 4 Te 2.47